# 1
A relaxed structure of Pm2Er2Sc, computed with PBE.

The structure in extended XYZ format:
```
5
Lattice="4.710 0.000 1.302 2.109 5.580 1.541 0.889 -1.307 5.955" Properties=species:S:1:pos:R:3 pbc="T T T"
Pm 1.852 1.254 2.469
Pm 5.855 3.019 6.330
Sc 0.000 0.000 0.000
Er 4.107 3.568 3.482
Er 3.600 0.705 5.317
```

- Magnetization: 0.002 μB/atom
- D(E_F): 7.84 states/eV per cell
- Energy above the lowest structure with this stoichiometry: 107 meV/atom
- Symmetry: Immm, No. 71
- Crystal system: orthorhombic

# 2
A relaxed structure of Pm2Er5Sc12, computed with PBE.

The structure in extended XYZ format:
```
19
Lattice="8.619 0.000 0.000 -4.309 10.729 -1.530 0.000 -4.984 6.370" Properties=species:S:1:pos:R:3 pbc="T T T"
Sc 4.309 -2.738 4.759
Sc 1.543 3.041 -0.091
Sc 0.000 0.487 1.664
Sc -2.767 2.704 4.931
Sc -1.640 6.037 1.376
Sc 2.670 -0.292 3.465
Sc 0.000 8.483 0.081
Sc 5.949 -0.292 3.465
Sc 4.309 5.258 3.176
Sc 1.640 6.037 1.376
Sc 7.076 3.041 -0.091
Sc 2.767 2.704 4.931
Pm 5.983 0.000 0.000
Pm 2.636 0.000 0.000
Er 0.000 0.635 4.968
Er 4.309 5.110 -0.127
Er 0.000 -2.492 3.185
Er 4.309 2.316 1.930
Er 0.000 3.429 2.911
```

- Magnetization: 0.000 μB/atom
- D(E_F): 30.24 states/eV per cell
- Symmetry: C2/m, No. 12
- Crystal system: monoclinic

Number 1: energy of formation 0.219 eV/atom. Number 2: energy of formation 0.139 eV/atom.